CaTl2Sn after structural relaxation. Source: the Alexandria database, functional GGA-PBE.

For the distance to the lowest polymorph of the same formula, the calculation gives 54 meV per atom. Its formation energy is -22.7 kJ/mol of atoms. The calculated total energy comes out at -2.92 eV/atom. As for the volume: 117 Å³/cell. Its space-group type is No. 225. As for the crystal system: cubic.

a = 5.492 Å, b = 5.492 Å, c = 5.492 Å
α = 60.00°, β = 60.00°, γ = 60.00°
Positions (direct):
Ca 0.000 0.000 0.000
Tl 0.250 0.250 0.250
Tl 0.750 0.750 0.750
Sn 0.500 0.500 0.500